(1)
VASP calculation (PBE) on a relaxed In2Sb2I crystal.

Cell: 6.455 6.455 6.455 Å, 128.47 128.47 75.86°
Element x y z (fractional)
In: 0.250 0.750 0.500
In: 0.750 0.250 0.500
Sb: 0.140 0.140 0.000
Sb: 0.860 0.860 0.000
I: 0.500 0.500 0.000

Relative energy among the computed polymorphs   0 meV/atom
Volume   160 Å³/cell

=====

(2)
VASP calculation (PBE) on a relaxed InSbI4 crystal.

Cell: 10.338 10.338 10.329 Å, 105.02 105.02 35.54°
Element x y z (fractional)
In: 0.218 0.218 0.290
In: 0.782 0.782 0.710
Sb: 0.102 0.102 0.675
Sb: 0.898 0.898 0.325
I: 0.050 0.050 0.339
I: 0.146 0.146 0.961
I: 0.257 0.257 0.649
I: 0.395 0.395 0.348
I: 0.605 0.605 0.652
I: 0.743 0.743 0.351
I: 0.854 0.854 0.039
I: 0.950 0.950 0.661

Relative energy among the computed polymorphs   18 meV/atom
Volume   618 Å³/cell

=====

(3)
VASP calculation (PBE) on a relaxed In4SbI6 crystal.

Cell: 9.379 9.379 9.853 Å, 90.00 90.00 90.00°
Element x y z (fractional)
In: 0.154 0.346 0.250
In: 0.154 0.346 0.750
In: 0.346 0.846 0.250
In: 0.346 0.846 0.750
In: 0.654 0.154 0.250
In: 0.654 0.154 0.750
In: 0.846 0.654 0.250
In: 0.846 0.654 0.750
Sb: 0.000 0.000 0.000
Sb: 0.500 0.500 0.500
I: 0.000 0.000 0.304
I: 0.000 0.000 0.696
I: 0.142 0.678 0.000
I: 0.178 0.642 0.500
I: 0.322 0.142 0.000
I: 0.358 0.178 0.500
I: 0.500 0.500 0.196
I: 0.500 0.500 0.804
I: 0.642 0.822 0.500
I: 0.678 0.858 0.000
I: 0.822 0.358 0.500
I: 0.858 0.322 0.000

Volume   867 Å³/cell

=====

(4)
VASP calculation (PBE) on a relaxed In2Sb2I crystal.

Cell: 9.062 9.062 3.665 Å, 90.00 90.00 90.00°
Element x y z (fractional)
In: 0.147 0.353 0.000
In: 0.353 0.853 0.000
In: 0.647 0.147 0.000
In: 0.853 0.647 0.000
Sb: 0.151 0.651 0.500
Sb: 0.349 0.151 0.500
Sb: 0.651 0.849 0.500
Sb: 0.849 0.349 0.500
I: 0.000 0.000 0.500
I: 0.500 0.500 0.500

Relative energy among the computed polymorphs   206 meV/atom
Volume   301 Å³/cell

=====

(5)
VASP calculation (PBE) on a relaxed In2Sb2I crystal.

Cell: 8.956 8.956 3.717 Å, 90.00 90.00 90.00°
Element x y z (fractional)
In: 0.160 0.340 0.000
In: 0.340 0.840 0.000
In: 0.660 0.160 0.000
In: 0.840 0.660 0.000
Sb: 0.134 0.634 0.500
Sb: 0.366 0.134 0.500
Sb: 0.634 0.866 0.500
Sb: 0.866 0.366 0.500
I: 0.000 0.000 0.000
I: 0.500 0.500 0.000

Relative energy among the computed polymorphs   244 meV/atom
Volume   298 Å³/cell

=====

(6)
VASP calculation (PBE) on a relaxed InSb2I6 crystal.

Cell: 10.313 10.313 12.397 Å, 116.34 116.34 80.69°
Element x y z (fractional)
In: 0.072 0.928 0.750
In: 0.928 0.072 0.250
Sb: 0.323 0.418 0.781
Sb: 0.418 0.323 0.281
Sb: 0.582 0.677 0.719
Sb: 0.677 0.582 0.219
I: 0.100 0.184 0.610
I: 0.127 0.635 0.826
I: 0.184 0.100 0.110
I: 0.361 0.398 0.534
I: 0.365 0.873 0.674
I: 0.398 0.361 0.034
I: 0.602 0.639 0.966
I: 0.635 0.127 0.326
I: 0.639 0.602 0.466
I: 0.816 0.900 0.890
I: 0.873 0.365 0.174
I: 0.900 0.816 0.390

Volume   1058 Å³/cell

=====

Number 1: raw formation energy -0.14 eV/atom, raw total energy -16.0 eV for the cell shown. Number 2: raw formation energy -0.33 eV/atom, raw total energy -30.1 eV for the cell shown. Number 3: raw formation energy -0.30 eV/atom, raw total energy -55.4 eV for the cell shown. Number 4: raw formation energy 0.07 eV/atom, raw total energy -29.9 eV for the cell shown. Number 5: raw formation energy 0.11 eV/atom, raw total energy -29.5 eV for the cell shown. Number 6: raw formation energy -0.25 eV/atom, raw total energy -45.1 eV for the cell shown.